LiNpPbSe3, relaxed, DFT PBE-GGA; energy relative to the elements, uncorrected = -88.3 kJ per mole of atoms; energy = -5.75 eV per atom; DOS at the Fermi energy = 22.20 states/eV per cell
1.0
4.1790 0.0000 0.0000
0.0000 8.6582 0.1771
0.0000 -2.1060 8.7400
Li Np Pb Se
2 2 2 6
Cartesian
1.0448 -0.4976 5.1071
3.1343 7.0498 3.8100
1.0448 5.4659 1.5427
3.1343 1.0863 7.3744
1.0448 1.1492 2.0848
3.1343 5.4030 6.8323
3.1343 7.4427 1.2977
1.0448 -0.8905 7.6194
1.0448 5.7430 4.4277
3.1343 0.8092 4.4894
3.1343 3.4600 1.5312
1.0448 3.0922 7.3859


HgPd9Au2, relaxed, DFT PBE-GGA; energy = -4.53 eV per atom; DOS at the Fermi energy = 14.47 states/eV per cell
1.0
-0.1241 2.7238 -2.9555
-3.0347 -2.0022 -1.7178
-7.8905 6.5200 6.3402
Hg Pd Au
1 9 2
Cartesian
0.0000 0.0000 0.0000
-1.5794 0.3608 -2.3366
-4.2248 2.5467 -0.2110
-6.8246 4.6949 1.8780
-1.3998 2.4672 -0.4029
-4.0073 4.6219 1.6924
-6.6149 6.7765 3.7876
-2.8551 0.1042 0.2160
-5.4626 2.2589 2.3112
-8.0702 4.4135 4.4065
-2.6397 2.1812 2.1211
-5.2508 4.3388 4.2192


Eu3Re, relaxed, DFT PBE-GGA; energy = -10.15 eV per atom; DOS at the Fermi energy = 8.07 states/eV per cell
1.0
-3.8453 0.7618 3.5358
0.6265 -1.6455 4.9768
0.6433 3.5188 3.8824
Eu Re
3 1
Cartesian
-0.6439 0.6588 3.0987
-1.9316 1.9763 9.2962
-1.2877 1.3175 6.1975
0.0000 0.0000 0.0000


Total magnetic moment (μB per cell)
8.0, 0.0, 6.3